Density functional theory data (PBE-GGA) for an optimized crystal structure of MnGaHg2Pb.

The structure in POSCAR format:
```
MnGaHg2Pb
1.0
5.213 0.000 0.000
0.000 5.213 0.000
0.000 0.000 5.130
Mn Ga Hg Pb
1 1 2 1
Direct
0.000 0.000 0.000
0.500 0.500 0.500
0.000 0.500 0.000
0.500 0.000 0.000
0.000 0.000 0.500
```

Density of states at the Fermi level = 0.4918 states/eV/atom
Energy of formation from the pure elements = 2.04 eV/f.u.
Energy above the lowest structure with this stoichiometry = 0 meV per atom